# BaCa2VF8 | Alexandria via LeMat-Bulk | GGA+U | relaxed
data_BaCa2VF8
_chemical_formula_sum 'Ba1 Ca2 V1 F8'
_cell_length_a 4.3453
_cell_length_b 7.6658
_cell_length_c 5.5814
_cell_angle_alpha 90.00
_cell_angle_beta 91.53
_cell_angle_gamma 90.00
_symmetry_space_group_name_H-M 'P 1 2/m 1'
_symmetry_Int_Tables_number 10
_symmetry_space_group_name_Hall '-P 2y'
loop_
_atom_site_label
_atom_site_fract_x
_atom_site_fract_y
_atom_site_fract_z
Ba1 0.0000 0.0000 0.0000
Ca1 0.5000 0.2685 0.5000
V1 0.0000 0.5000 0.0000
F1 0.0765 0.2864 0.7487
F2 0.3981 0.5000 0.2460
F3 0.4874 0.0000 0.2729
# **DOS(E_F)**: 0.000 states/eV/atom
# **Total magnetization**: 3.000 μB per formula unit
# **Density**: 3.76 Mg/m³
# **E_tot**: -5.89 eV per atom

---

# BaCaWF7 | Alexandria via LeMat-Bulk | GGA+U | relaxed
data_BaCaWF7
_chemical_formula_sum 'Ba4 Ca4 W4 F28'
_cell_length_a 5.8921
_cell_length_b 11.1165
_cell_length_c 9.8611
_cell_angle_alpha 90.00
_cell_angle_beta 90.48
_cell_angle_gamma 90.00
_symmetry_space_group_name_H-M 'P 1 21/c 1'
_symmetry_Int_Tables_number 14
_symmetry_space_group_name_Hall '-P 2ybc'
loop_
_atom_site_label
_atom_site_fract_x
_atom_site_fract_y
_atom_site_fract_z
Ba1 0.2247 0.1482 0.4740
Ca1 0.1921 0.5691 0.3565
W1 0.3019 0.6559 0.7023
F1 0.0024 0.7448 0.7724
F2 0.0808 0.5149 0.1471
F3 0.1591 0.5039 0.6029
F4 0.1961 0.7299 0.5152
F5 0.3879 0.1059 0.8888
F6 0.4170 0.5639 0.8773
F7 0.4760 0.6866 0.2677
# **DOS(E_F)**: 0.000 states/eV/atom
# **Total magnetization**: 3.000 μB per formula unit
# **Density**: 5.08 Mg/m³
# **E_tot**: -5.79 eV per atom